(1)
Computed, not measured: crystalline NbSnOs at its relaxed geometry at the PBE level of DFT.

Properties
Uncorrected energy, eV per atom: -8.381
ρ, Mg/m³: 11.53
Energy of formation from the pure elements, meV/atom: 53
Space-group type: Amm2 (38)

Unit cell a=3.162 b=3.055 c=11.983 alpha=90.00 beta=90.00 gamma=90.00
Element x y z (fractional)
Nb 0.000 0.000 0.000
Nb 0.000 0.500 0.500
Sn 0.500 0.000 0.682
Sn 0.500 0.500 0.182
Os 0.500 0.000 0.378
Os 0.500 0.500 0.878

---

(2)
Computed, not measured: crystalline NbSnOs at its relaxed geometry at the PBE level of DFT.

Properties
Uncorrected energy, eV per atom: -8.392
ρ, Mg/m³: 12.50
Energy of formation from the pure elements, meV/atom: 42
Space-group type: I4mm (107)

Unit cell a=3.113 b=3.113 c=11.020 alpha=90.00 beta=90.00 gamma=90.00
Element x y z (fractional)
Nb 0.000 0.000 0.000
Nb 0.500 0.500 0.500
Sn 0.000 0.000 0.311
Sn 0.500 0.500 0.811
Os 0.000 0.000 0.647
Os 0.500 0.500 0.147

---

(3)
Computed, not measured: crystalline Nb2SnOs at its relaxed geometry at the PBE level of DFT.

Properties
Uncorrected energy, eV per atom: -8.638
ρ, Mg/m³: 11.45
Energy of formation from the pure elements, meV/atom: 205
Space-group type: Fm-3m (225)

Unit cell a=6.596 b=6.596 c=6.596 alpha=90.00 beta=90.00 gamma=90.00
Element x y z (fractional)
Nb 0.250 0.250 0.250
Nb 0.250 0.250 0.750
Nb 0.250 0.750 0.250
Nb 0.250 0.750 0.750
Nb 0.750 0.250 0.250
Nb 0.750 0.250 0.750
Nb 0.750 0.750 0.250
Nb 0.750 0.750 0.750
Sn 0.000 0.000 0.000
Sn 0.000 0.500 0.500
Sn 0.500 0.000 0.500
Sn 0.500 0.500 0.000
Os 0.000 0.000 0.500
Os 0.000 0.500 0.000
Os 0.500 0.000 0.000
Os 0.500 0.500 0.500

---

(4)
Computed, not measured: crystalline NbSn2Os at its relaxed geometry at the PBE level of DFT.

Properties
Uncorrected energy, eV per atom: -6.694
ρ, Mg/m³: 10.64
Energy of formation from the pure elements, meV/atom: 633
Space-group type: R-3m (166)

Unit cell a=3.040 b=3.040 c=30.458 alpha=90.00 beta=90.00 gamma=120.00
Element x y z (fractional)
Nb 0.000 0.000 0.000
Nb 0.333 0.667 0.667
Nb 0.667 0.333 0.333
Sn 0.000 0.000 0.413
Sn 0.000 0.000 0.587
Sn 0.333 0.667 0.079
Sn 0.333 0.667 0.254
Sn 0.667 0.333 0.746
Sn 0.667 0.333 0.921
Os 0.000 0.000 0.500
Os 0.333 0.667 0.167
Os 0.667 0.333 0.833

---

(5)
Computed, not measured: crystalline NbSn3Os at its relaxed geometry at the PBE level of DFT.

Properties
Uncorrected energy, eV per atom: -5.669
ρ, Mg/m³: 7.90
Energy of formation from the pure elements, meV/atom: 993
Space-group type: Pm-3m (221)

Unit cell a=5.123 b=5.123 c=5.123 alpha=90.00 beta=90.00 gamma=90.00
Element x y z (fractional)
Nb 0.000 0.000 0.000
Sn 0.000 0.500 0.500
Sn 0.500 0.000 0.500
Sn 0.500 0.500 0.000
Os 0.500 0.500 0.500

---

(6)
Computed, not measured: crystalline NbSn2Os at its relaxed geometry at the PBE level of DFT.

Properties
Uncorrected energy, eV per atom: -6.986
ρ, Mg/m³: 11.57
Energy of formation from the pure elements, meV/atom: 340
Space-group type: Fm-3m (225)

Unit cell a=6.686 b=6.686 c=6.686 alpha=90.00 beta=90.00 gamma=90.00
Element x y z (fractional)
Nb 0.000 0.000 0.000
Nb 0.000 0.500 0.500
Nb 0.500 0.000 0.500
Nb 0.500 0.500 0.000
Sn 0.250 0.250 0.250
Sn 0.250 0.250 0.750
Sn 0.250 0.750 0.250
Sn 0.250 0.750 0.750
Sn 0.750 0.250 0.250
Sn 0.750 0.250 0.750
Sn 0.750 0.750 0.250
Sn 0.750 0.750 0.750
Os 0.000 0.000 0.500
Os 0.000 0.500 0.000
Os 0.500 0.000 0.000
Os 0.500 0.500 0.500